This record from the Alexandria database describes a relaxed structure of Hf3Bi. The functional is PBE.

Unit cell a=4.0919 b=6.9024 c=7.3224 alpha=115.00 beta=90.00 gamma=90.00
Closest atoms and distances in Å follow each position.
Fractional positions:
1 Hf 0.7500 0.3046 0.3651  7 Hf 3.02-3.30, 3 Bi 3.07-3.22
2 Hf 0.7500 0.0622 0.8816  8 Hf 3.03-3.28, 2 Bi 3.22
3 Hf 0.7500 0.5856 0.8792  7 Hf 3.02-3.28, 3 Bi 3.09-3.18
4 Hf 0.2500 0.6954 0.6349  7 Hf 3.02-3.30, 3 Bi 3.07-3.22
5 Hf 0.2500 0.9378 0.1184  8 Hf 3.03-3.28, 2 Bi 3.22
6 Hf 0.2500 0.4144 0.1208  7 Hf 3.02-3.28, 3 Bi 3.09-3.18
7 Bi 0.2500 0.2331 0.6431  8 Hf 3.07-3.22
8 Bi 0.7500 0.7669 0.3569  8 Hf 3.07-3.22

Computed properties:
Space-group type   P2_1/m (11)
Theoretical density   13.19 Mg/m³
Total DFT energy (no corrections)   -0.6275 Ry per atom
Formation energy from the elements   -10 kJ per mole of atoms